# 1
{
  "formula": "SmEr2Tc9",
  "functional": "PBE",
  "state": "optimized geometry",
  "density_g_cm3": 10.47,
  "crystal_system": "trigonal",
  "spacegroup": "No. 166",
  "ef_mev_per_atom": -58,
  "dft_energy_ry_per_atom": -0.660,
  "lattice_angstrom": [[2.682, 1.548, 8.702], [-2.682, 1.548, 8.702], [0.000, -3.097, 8.702]],
  "species": ["Sm", "Er", "Er", "Tc", "Tc", "Tc", "Tc", "Tc", "Tc", "Tc", "Tc", "Tc"],
  "fractional_positions": [[0.000, 0.000, 0.000], [0.144, 0.144, 0.144], [0.856, 0.856, 0.856], [0.073, 0.589, 0.589], [0.339, 0.339, 0.339], [0.411, 0.411, 0.927], [0.411, 0.927, 0.411], [0.500, 0.500, 0.500], [0.589, 0.073, 0.589], [0.589, 0.589, 0.073], [0.661, 0.661, 0.661], [0.927, 0.411, 0.411]]
}

# 2
{
  "formula": "Sm3ErTc",
  "functional": "PBE",
  "state": "optimized geometry",
  "density_g_cm3": 8.19,
  "crystal_system": "monoclinic",
  "e_above_lowest_polymorph_mev_per_atom": 0.0,
  "spacegroup": "No. 8",
  "ef_mev_per_atom": -17,
  "dft_energy_ry_per_atom": -0.429,
  "lattice_angstrom": [[6.100, -1.977, 0.000], [6.100, 1.977, 0.000], [-4.983, 0.000, 12.049]],
  "species": ["Sm", "Sm", "Sm", "Sm", "Sm", "Sm", "Er", "Er", "Tc", "Tc"],
  "fractional_positions": [[0.000, 0.000, 0.000], [0.017, 0.017, 0.375], [0.326, 0.326, 0.762], [0.351, 0.351, 0.129], [0.684, 0.684, 0.237], [0.792, 0.792, 0.518], [0.545, 0.545, 0.621], [0.665, 0.665, 0.894], [0.355, 0.355, 0.379], [0.995, 0.995, 0.765]]
}

# 3
{
  "formula": "Sm2ErTc9",
  "functional": "PBE",
  "state": "optimized geometry",
  "density_g_cm3": 10.22,
  "crystal_system": "trigonal",
  "spacegroup": "No. 166",
  "ef_mev_per_atom": 17,
  "dft_energy_ry_per_atom": -0.656,
  "lattice_angstrom": [[2.677, 1.545, 8.832], [-2.677, 1.545, 8.832], [0.000, -3.091, 8.832]],
  "species": ["Sm", "Sm", "Er", "Tc", "Tc", "Tc", "Tc", "Tc", "Tc", "Tc", "Tc", "Tc"],
  "fractional_positions": [[0.144, 0.144, 0.144], [0.856, 0.856, 0.856], [0.000, 0.000, 0.000], [0.074, 0.586, 0.586], [0.337, 0.337, 0.337], [0.414, 0.414, 0.926], [0.414, 0.926, 0.414], [0.500, 0.500, 0.500], [0.586, 0.074, 0.586], [0.586, 0.586, 0.074], [0.663, 0.663, 0.663], [0.926, 0.414, 0.414]]
}

# 4
{
  "formula": "SmErTc",
  "functional": "PBE",
  "state": "optimized geometry",
  "density_g_cm3": 9.06,
  "crystal_system": "tetragonal",
  "spacegroup": "No. 107",
  "ef_mev_per_atom": -7,
  "dft_energy_ry_per_atom": -0.482,
  "lattice_angstrom": [[-1.742, 1.742, 6.282], [1.742, -1.742, 6.282], [1.742, 1.742, -6.282]],
  "species": ["Sm", "Er", "Tc"],
  "fractional_positions": [[0.000, 0.000, 0.000], [0.260, 0.260, 0.000], [0.635, 0.635, 0.000]]
}

# 5
{
  "formula": "Sm3ErTc",
  "functional": "PBE",
  "state": "optimized geometry",
  "density_g_cm3": 7.35,
  "crystal_system": "cubic",
  "e_above_lowest_polymorph_mev_per_atom": 223.3,
  "spacegroup": "No. 221",
  "ef_mev_per_atom": 206,
  "dft_energy_ry_per_atom": -0.412,
  "lattice_angstrom": [[5.450, 0.000, 0.000], [0.000, 5.450, 0.000], [0.000, 0.000, 5.450]],
  "species": ["Sm", "Sm", "Sm", "Er", "Tc"],
  "fractional_positions": [[0.000, 0.000, 0.500], [0.000, 0.500, 0.000], [0.500, 0.000, 0.000], [0.500, 0.500, 0.500], [0.000, 0.000, 0.000]]
}

# 6
{
  "formula": "SmErTc4",
  "functional": "PBE",
  "state": "optimized geometry",
  "density_g_cm3": 10.45,
  "crystal_system": "cubic",
  "spacegroup": "No. 216",
  "ef_mev_per_atom": -94,
  "dft_energy_ry_per_atom": -0.629,
  "lattice_angstrom": [[0.000, 3.834, 3.834], [3.834, 0.000, 3.834], [3.834, 3.834, 0.000]],
  "species": ["Sm", "Er", "Tc", "Tc", "Tc", "Tc"],
  "fractional_positions": [[0.000, 0.000, 0.000], [0.250, 0.250, 0.250], [0.125, 0.625, 0.625], [0.625, 0.125, 0.625], [0.625, 0.625, 0.125], [0.625, 0.625, 0.625]]
}

# 7
{
  "formula": "SmEr4Tc",
  "functional": "PBE",
  "state": "optimized geometry",
  "density_g_cm3": 9.19,
  "crystal_system": "orthorhombic",
  "spacegroup": "No. 62",
  "ef_mev_per_atom": -30,
  "dft_energy_ry_per_atom": -0.411,
  "lattice_angstrom": [[8.748, 0.000, 0.000], [0.000, 3.716, 0.000], [0.000, 0.000, 20.397]],
  "species": ["Sm", "Sm", "Sm", "Sm", "Er", "Er", "Er", "Er", "Er", "Er", "Er", "Er", "Er", "Er", "Er", "Er", "Er", "Er", "Er", "Er", "Tc", "Tc", "Tc", "Tc"],
  "fractional_positions": [[0.225, 0.250, 0.188], [0.275, 0.750, 0.688], [0.725, 0.250, 0.312], [0.775, 0.750, 0.812], [0.011, 0.750, 0.566], [0.038, 0.750, 0.294], [0.131, 0.750, 0.044], [0.151, 0.750, 0.858], [0.349, 0.250, 0.358], [0.369, 0.250, 0.544], [0.462, 0.250, 0.794], [0.489, 0.250, 0.066], [0.511, 0.750, 0.934], [0.538, 0.750, 0.206], [0.631, 0.750, 0.456], [0.651, 0.750, 0.642], [0.849, 0.250, 0.142], [0.869, 0.250, 0.956], [0.962, 0.250, 0.706], [0.989, 0.250, 0.434], [0.239, 0.750, 0.455], [0.261, 0.250, 0.955], [0.739, 0.750, 0.045], [0.761, 0.250, 0.545]]
}

# 8
{
  "formula": "SmErZnTc",
  "functional": "PBE",
  "state": "optimized geometry",
  "density_g_cm3": 9.29,
  "crystal_system": "cubic",
  "spacegroup": "No. 216",
  "ef_mev_per_atom": -115,
  "dft_energy_ry_per_atom": -0.393,
  "lattice_angstrom": [[0.000, 3.503, 3.503], [3.503, 0.000, 3.503], [3.503, 3.503, 0.000]],
  "species": ["Sm", "Er", "Zn", "Tc"],
  "fractional_positions": [[0.000, 0.000, 0.000], [0.500, 0.500, 0.500], [0.750, 0.750, 0.750], [0.250, 0.250, 0.250]]
}

# 9
{
  "formula": "SmErTe3",
  "functional": "PBE",
  "state": "optimized geometry",
  "density_g_cm3": 7.48,
  "crystal_system": "orthorhombic",
  "e_above_lowest_polymorph_mev_per_atom": 6.2,
  "raw_formation_energy_kcal_per_mol_atoms": -31.9,
  "spacegroup": "No. 62",
  "dft_energy_ry_per_atom": -0.377,
  "lattice_angstrom": [[8.242, 0.000, 0.000], [0.000, 4.356, 0.000], [0.000, 0.000, 17.329]],
  "species": ["Sm", "Sm", "Sm", "Sm", "Er", "Er", "Er", "Er", "Te", "Te", "Te", "Te", "Te", "Te", "Te", "Te", "Te", "Te", "Te", "Te"],
  "fractional_positions": [[0.135, 0.250, 0.201], [0.365, 0.750, 0.701], [0.635, 0.250, 0.299], [0.865, 0.750, 0.799], [0.228, 0.750, 0.459], [0.272, 0.250, 0.959], [0.728, 0.750, 0.041], [0.772, 0.250, 0.541], [0.004, 0.250, 0.393], [0.117, 0.750, 0.064], [0.157, 0.250, 0.785], [0.343, 0.750, 0.285], [0.383, 0.250, 0.564], [0.496, 0.750, 0.893], [0.504, 0.250, 0.107], [0.617, 0.750, 0.436], [0.657, 0.250, 0.715], [0.843, 0.750, 0.215], [0.883, 0.250, 0.936], [0.996, 0.750, 0.607]]
}

# 10
{
  "formula": "SmErTe2",
  "functional": "PBE",
  "state": "optimized geometry",
  "density_g_cm3": 7.97,
  "crystal_system": "trigonal",
  "e_above_lowest_polymorph_mev_per_atom": 0.0,
  "raw_formation_energy_kcal_per_mol_atoms": -30.7,
  "spacegroup": "No. 160",
  "dft_energy_ry_per_atom": -0.384,
  "lattice_angstrom": [[2.125, 1.227, 7.635], [-2.125, 1.227, 7.635], [0.000, -2.453, 7.635]],
  "species": ["Sm", "Er", "Te", "Te"],
  "fractional_positions": [[0.000, 0.000, 0.000], [0.826, 0.826, 0.826], [0.243, 0.243, 0.243], [0.417, 0.417, 0.417]]
}

# 11
{
  "formula": "SmEr2Te",
  "functional": "PBE",
  "state": "optimized geometry",
  "density_g_cm3": 8.00,
  "crystal_system": "trigonal",
  "e_above_lowest_polymorph_mev_per_atom": 130.1,
  "raw_formation_energy_kcal_per_mol_atoms": -11.9,
  "spacegroup": "No. 160",
  "dft_energy_ry_per_atom": -0.350,
  "lattice_angstrom": [[1.931, 1.115, 9.833], [-1.931, 1.115, 9.833], [0.000, -2.230, 9.833]],
  "species": ["Sm", "Er", "Er", "Te"],
  "fractional_positions": [[0.000, 0.000, 0.000], [0.238, 0.238, 0.238], [0.428, 0.428, 0.428], [0.833, 0.833, 0.833]]
}

# 12
{
  "formula": "Sm4ErTe7",
  "functional": "PBE",
  "state": "optimized geometry",
  "density_g_cm3": 6.87,
  "crystal_system": "monoclinic",
  "raw_formation_energy_kcal_per_mol_atoms": -32.4,
  "spacegroup": "No. 8",
  "dft_energy_ry_per_atom": -0.382,
  "lattice_angstrom": [[7.247, -2.150, 0.000], [7.247, 2.150, 0.000], [-3.318, 0.000, 12.898]],
  "species": ["Sm", "Sm", "Sm", "Sm", "Er", "Te", "Te", "Te", "Te", "Te", "Te", "Te"],
  "fractional_positions": [[0.000, 0.000, 0.000], [0.185, 0.185, 0.764], [0.586, 0.586, 0.385], [0.885, 0.885, 0.572], [0.771, 0.771, 0.150], [0.149, 0.149, 0.224], [0.224, 0.224, 0.526], [0.382, 0.382, 0.077], [0.547, 0.547, 0.623], [0.630, 0.630, 0.928], [0.849, 0.849, 0.791], [0.922, 0.922, 0.354]]
}